Entry 1:
A relaxed structure of ZrTlP2S. Source: Alexandria via LeMat-Bulk, functional PBE.

```
5
Lattice="5.1135 0.0000 0.0000 0.0000 5.1135 0.0000 0.0000 0.0000 5.0258" Properties=species:S:1:pos:R:3 pbc="T T T"
P 0.0000 2.5567 0.0000
S 0.0000 0.0000 2.5129
P 2.5567 0.0000 0.0000
Zr 0.0000 0.0000 0.0000
Tl 2.5567 2.5567 2.5129
```

Calculated values
space-group type: P4/mmm (123)
E_form (uncorrected): -100 meV/atom
energy above the most stable polymorph in this dataset: 0 kJ/mol of formula units

***

Entry 2:
A relaxed structure of Y4OsPt. Source: Alexandria via LeMat-Bulk, functional PBE.

```
6
Lattice="-4.1313 1.4835 3.8320 -5.6160 -0.2264 -1.5369 -3.4776 -4.0904 2.2644" Properties=species:S:1:pos:R:3 pbc="T T T"
Pt 0.0000 0.0000 0.0000
Y -6.6979 -3.1026 2.8404
Os -9.9188 -2.1250 3.4197
Y -7.0238 -0.3241 3.6218
Y -7.7639 -1.1765 0.9454
Y -4.9644 -1.0636 1.7115
```

Calculated values
space-group type: F-43m (216)
energy above the most stable polymorph in this dataset: 766 kJ/mol of formula units
ΔH_f (0 K): 741 meV per atom

***

Entry 3:
A relaxed structure of Sm2ScCd. Source: Alexandria via LeMat-Bulk, functional PBE.

```
4
Lattice="-0.7027 -2.0084 -2.8156 1.0537 -3.3674 -0.0728 -9.2137 -4.8085 3.5175" Properties=species:S:1:pos:R:3 pbc="T T T"
Sm -6.6761 -7.6476 0.4858
Sm -2.1865 -2.5367 0.1433
Sc -4.4313 -5.0922 0.3146
Cd 0.0000 0.0000 0.0000
```

Calculated values
space-group type: R-3m (166)
energy above the most stable polymorph in this dataset: 37 kJ/mol of formula units
ΔH_f (0 K): -18 meV per atom

***

Entry 4:
A relaxed structure of Pr7Sc. Source: Alexandria via LeMat-Bulk, functional PBE.

```
8
Lattice="7.3142 0.0000 0.0000 3.6571 6.3343 0.0000 3.6571 2.1114 5.9720" Properties=species:S:1:pos:R:3 pbc="T T T"
Pr 3.6571 0.0000 0.0000
Pr 1.8285 1.0557 2.9860
Pr 1.8285 3.1671 0.0000
Pr 3.6571 4.2228 2.9860
Pr 5.4856 1.0557 2.9860
Pr 5.4856 3.1671 0.0000
Pr 7.3142 4.2228 2.9860
Sc 0.0000 0.0000 0.0000
```

Calculated values
space-group type: Fm-3m (225)
energy above the most stable polymorph in this dataset: 0 kJ/mol of formula units
ΔH_f (0 K): 28 meV per atom

***

Entry 5:
A relaxed structure of TbBeGa2Au5. Source: Alexandria via LeMat-Bulk, functional PBE.

```
9
Lattice="-2.9098 0.1603 3.4231 1.7782 -5.5407 1.7711 5.1510 5.3675 1.1752" Properties=species:S:1:pos:R:3 pbc="T T T"
Tb 0.8891 -2.7704 0.8855
Au 0.0000 0.0000 0.0000
Au 3.7686 0.6423 3.1734
Au 0.2508 -0.6551 3.1959
Au 2.9263 3.2669 2.3345
Ga 1.8232 1.0646 1.5000
Be -1.4549 0.0802 1.7115
Ga 2.1962 -1.0775 4.8694
Au 1.0931 -3.2797 4.0349
```

Calculated values
space-group type: Immm (71)
ΔH_f (0 K): -281 meV per atom

***

Entry 6:
A relaxed structure of CrMo2Au. Source: Alexandria via LeMat-Bulk, functional PBE.

```
4
Lattice="6.1311 0.0043 0.0140 -2.4386 4.2851 -0.0319 1.2540 0.7278 2.3649" Properties=species:S:1:pos:R:3 pbc="T T T"
Cr 1.8463 2.1447 -0.0090
Au -0.5923 2.5064 1.1665
Mo 3.6926 0.3660 1.1894
Mo 0.0000 0.0000 0.0000
```

Calculated values
space-group type: Cmmm (65)
energy above the most stable polymorph in this dataset: 43 kJ/mol of formula units
ΔH_f (0 K): 325 meV per atom

***

Entry 7:
A relaxed structure of PmSb2Pd5. Source: Alexandria via LeMat-Bulk, functional PBE.

```
8
Lattice="4.0988 0.0000 0.0000 2.0494 6.4695 0.6715 2.0494 1.8487 6.2360" Properties=species:S:1:pos:R:3 pbc="T T T"
Sb 6.1482 6.1799 5.1318
Pd 2.0494 4.1591 3.4538
Sb 2.0494 2.1384 1.7758
Pd 4.0988 6.1555 3.2494
Pd 4.0988 3.9933 1.4539
Pd 4.0988 2.1628 3.6582
Pd 4.0988 4.3250 5.4537
Pm 0.0000 0.0000 0.0000
```

Calculated values
space-group type: Immm (71)
E_form (uncorrected): -580 meV/atom

***

Entry 8:
A relaxed structure of PuTh2Os. Source: Alexandria via LeMat-Bulk, functional PBE.

```
4
Lattice="3.6010 0.0000 0.0000 0.0000 3.6010 0.0000 0.0000 0.0000 7.9209" Properties=species:S:1:pos:R:3 pbc="T T T"
Os 1.8005 1.8005 0.0000
Pu 1.8005 1.8005 3.9605
Th 0.0000 0.0000 6.2161
Th 0.0000 0.0000 1.7048
```

Calculated values
space-group type: P4/mmm (123)
energy above the most stable polymorph in this dataset: 0 kJ/mol of formula units
ΔH_f (0 K): 20 meV per atom